An optimized crystal structure of Ce3Hg. Source: Alexandria via LeMat-Bulk, functional GGA-PBE.

The structure in extended XYZ format:
```
8
Lattice="6.837 0.000 0.000 -3.419 5.921 0.000 0.000 0.000 5.394" Properties=species:S:1:pos:R:3 pbc="T T T"
Ce 0.000 2.084 1.349
Ce -1.614 4.879 1.349
Ce 1.805 1.042 4.046
Ce 1.614 4.879 1.349
Ce 5.032 1.042 4.046
Ce 3.419 3.837 4.046
Hg 0.000 3.948 4.046
Hg 3.419 1.974 1.349
```

Total magnetic moment = 0.804 μB per atom
E = -36.73 eV for the cell shown
Energy of formation = -0.066 eV/atom
Symmetry = P6_3/mmc (194)
Fermi-level density of states = 27.445 states/eV per cell
V = 27.3 A^3/atom